No. 1
The following is a PBE calculation of a relaxed structure of Pr5HgTe5, from the Alexandria database.

Cell lengths 14.257, 6.406, 9.002 Å; angles 90.00, 108.46, 90.00 degrees
Space group C2/m (No. 12)
Asymmetric unit:
Pr (0.000, 0.000, 0.000) x2
Pr (0.166, 0.500, 0.336) x4
Pr (0.166, 0.500, 0.831) x4
Hg (0.000, 0.500, 0.000) x2
Te (0.000, 0.500, 0.500) x2
Te (0.165, 0.000, 0.829) x4
Te (0.167, 0.000, 0.336) x4

Computed properties:
Density of states at the Fermi level: 0.476 states/eV/atom
Energy relative to the elements, uncorrected: -1269 meV/atom

---

No. 2
The following is a PBE calculation of a relaxed structure of Pr4HgTe2, from the Alexandria database.

Cell lengths 9.948, 9.948, 9.882 Å; angles 90.00, 90.00, 90.00 degrees
Space group I-42d (No. 122)
Asymmetric unit:
Pr (0.001, 0.694, 0.438) x16
Hg (0.000, 0.000, 0.500) x4
Te (0.001, 0.750, 0.125) x8

Computed properties:
Density of states at the Fermi level: 1.106 states/eV/atom
Energy relative to the elements, uncorrected: -835 meV/atom

---

No. 3
The following is a PBE calculation of a relaxed structure of Pr5HgTe4, from the Alexandria database.

Cell lengths 4.520, 4.520, 32.055 Å; angles 90.00, 90.00, 90.00 degrees
Space group I4/mmm (No. 139)
Asymmetric unit:
Pr (0.000, 0.000, 0.000) x2
Pr (0.000, 0.000, 0.198) x4
Pr (0.000, 0.000, 0.400) x4
Hg (0.000, 0.000, 0.500) x2
Te (0.000, 0.000, 0.099) x4
Te (0.000, 0.000, 0.300) x4

Computed properties:
Density of states at the Fermi level: 0.450 states/eV/atom
Energy relative to the elements, uncorrected: -1249 meV/atom
Energy above the most stable polymorph in this dataset: 25 meV/atom

---

No. 4
The following is a PBE calculation of a relaxed structure of Pr3HgTe3, from the Alexandria database.

Cell lengths 12.908, 4.300, 16.254 Å; angles 90.00, 90.00, 90.00 degrees
Space group Pnma (No. 62)
Asymmetric unit:
Pr (0.072, 0.250, 0.094) x4
Pr (0.129, 0.250, 0.579) x4
Pr (0.234, 0.750, 0.346) x4
Hg (0.010, 0.250, 0.771) x4
Te (0.054, 0.250, 0.389) x4
Te (0.161, 0.750, 0.970) x4
Te (0.227, 0.750, 0.703) x4

Computed properties:
Density of states at the Fermi level: 0.675 states/eV/atom
Energy relative to the elements, uncorrected: -1149 meV/atom

---

No. 5
The following is a PBE calculation of a relaxed structure of PrHgTe2, from the Alexandria database.

Cell lengths 4.5604, 4.5604, 23.4092 Å; angles 90.00, 90.00, 120.00 degrees
Space group R3m (No. 160, hexagonal axes)
Asymmetric unit:
Pr (0.0000, 0.0000, 0.0000) x3
Hg (0.0000, 0.0000, 0.8341) x3
Te (0.0000, 0.0000, 0.4130) x3
Te (0.0000, 0.0000, 0.5908) x3

Computed properties:
Density of states at the Fermi level: 0.654 states/eV/atom
Energy relative to the elements, uncorrected: -774 meV/atom
Energy above the most stable polymorph in this dataset: 0 meV/atom

---

No. 6
The following is a PBE calculation of a relaxed structure of Pr8HgTe5, from the Alexandria database.

Cell lengths 9.519, 9.519, 9.574 Å; angles 90.00, 90.00, 90.00 degrees
Space group I-4 (No. 82)
Asymmetric unit:
Pr (0.069, 0.180, 0.304) x8
Pr (0.072, 0.322, 0.946) x8
Hg (0.000, 0.500, 0.250) x2
Te (0.000, 0.000, 0.000) x2
Te (0.127, 0.251, 0.625) x8

Computed properties:
Density of states at the Fermi level: 1.149 states/eV/atom
Energy relative to the elements, uncorrected: -1080 meV/atom

---

No. 7
The following is a PBE calculation of a relaxed structure of Pr4HgTe, from the Alexandria database.

Cell lengths 6.345, 8.624, 8.324 Å; angles 90.00, 107.55, 90.00 degrees
Space group P2_1/m (No. 11)
Asymmetric unit:
Pr (0.033, 0.043, 0.250) x4
Pr (0.399, 0.250, 0.000) x2
Pr (0.421, 0.750, 0.497) x2
Hg (0.163, 0.750, 0.077) x2
Te (0.125, 0.250, 0.584) x2

Computed properties:
Density of states at the Fermi level: 1.189 states/eV/atom
Energy relative to the elements, uncorrected: -391 meV/atom
Energy above the most stable polymorph in this dataset: 182 meV/atom

---

No. 8
The following is a PBE calculation of a relaxed structure of Pr4HgTe5, from the Alexandria database.

Cell lengths 22.103, 4.632, 8.578 Å; angles 90.00, 107.51, 90.00 degrees
Space group C2/m (No. 12)
Asymmetric unit:
Pr (0.032, 0.000, 0.265) x4
Pr (0.174, 0.500, 0.558) x4
Hg (0.000, 0.500, 0.500) x2
Te (0.000, 0.500, 0.000) x2
Te (0.109, 0.000, 0.700) x4
Te (0.179, 0.000, 0.297) x4

Computed properties:
Density of states at the Fermi level: 0.232 states/eV/atom
Energy relative to the elements, uncorrected: -1133 meV/atom

---

No. 9
The following is a PBE calculation of a relaxed structure of PrHgTe, from the Alexandria database.

Cell lengths 18.131, 4.482, 4.475 Å; angles 90.00, 90.00, 90.00 degrees
Space group Pnma (No. 62)
Asymmetric unit:
Pr (0.147, 0.250, 0.217) x4
Hg (0.001, 0.750, 0.257) x4
Te (0.173, 0.750, 0.716) x4

Computed properties:
Density of states at the Fermi level: 0.602 states/eV/atom
Energy relative to the elements, uncorrected: -947 meV/atom
Energy above the most stable polymorph in this dataset: 0 meV/atom

---

No. 10
The following is a PBE calculation of a relaxed structure of PrHg2Te, from the Alexandria database.

Cell lengths 4.564, 4.564, 5.438 Å; angles 90.00, 90.00, 90.00 degrees
Space group P4/mmm (No. 123)
Asymmetric unit:
Pr (0.000, 0.000, 0.000) x1
Hg (0.000, 0.500, 0.500) x2
Te (0.500, 0.500, 0.000) x1

Computed properties:
Density of states at the Fermi level: 0.436 states/eV/atom
Energy relative to the elements, uncorrected: -640 meV/atom
Energy above the most stable polymorph in this dataset: 0 meV/atom

---

No. 11
The following is a PBE calculation of a relaxed structure of PrHgTe, from the Alexandria database.

Cell lengths 9.635, 10.582, 8.338 Å; angles 90.00, 90.00, 90.00 degrees
Space group Cmce (No. 64)
Asymmetric unit:
Pr (0.000, 0.000, 0.250) x8
Hg (0.000, 0.250, 0.001) x8
Te (0.250, 0.000, 0.000) x8

Computed properties:
Density of states at the Fermi level: 0.714 states/eV/atom
Energy relative to the elements, uncorrected: -757 meV/atom
Energy above the most stable polymorph in this dataset: 190 meV/atom

---

No. 12
The following is a PBE calculation of a relaxed structure of PrThHgTe2, from the Alexandria database.

Cell lengths 4.411, 4.411, 15.769 Å; angles 90.00, 90.00, 90.00 degrees
Space group P4/nmm (No. 129, origin choice 2)
Asymmetric unit:
Pr (0.250, 0.250, 0.165) x2
Th (0.250, 0.250, 0.582) x2
Hg (0.250, 0.750, 0.000) x2
Te (0.250, 0.250, 0.376) x2
Te (0.250, 0.250, 0.790) x2

Computed properties:
Density of states at the Fermi level: 0.911 states/eV/atom
Energy relative to the elements, uncorrected: -987 meV/atom